[1]
BeCdRh2 | PBE-GGA | optimized geometry

Cell and atoms, written as extended XYZ:
```
4
Lattice="-2.4178 1.2637 2.0035 1.6252 -0.4950 2.2735 3.2676 5.2931 0.6047" Properties=species:S:1:pos:R:3 pbc="T T T"
Be 2.5232 1.7960 1.9121
Rh 1.6051 -0.2814 2.1145
Rh 0.2814 2.1761 1.8261
Cd 2.1368 4.2750 2.7414
```

E_form (eV/atom): -0.090
Density of states at the Fermi level (states/eV per cell): 4.1
Total magnetic moment (μB/f.u.): 0.0

---

[2]
BeCd2Rh | PBE-GGA | optimized geometry

Cell and atoms, written as extended XYZ:
```
4
Lattice="3.9686 0.0000 0.0000 0.0000 3.9712 0.0000 0.0000 0.0000 4.0362" Properties=species:S:1:pos:R:3 pbc="T T T"
Be 0.0000 1.9856 2.0181
Rh 1.9843 0.0000 2.0181
Cd 0.0000 0.0000 0.0000
Cd 1.9843 1.9856 0.0000
```

E_form (eV/atom): 0.067
Density of states at the Fermi level (states/eV per cell): 2.2
Total magnetic moment (μB/f.u.): 0.0

---

[3]
BeCd3Rh | PBE-GGA | optimized geometry

Cell and atoms, written as extended XYZ:
```
5
Lattice="-2.5722 -0.1752 -3.7309 -3.3705 -1.8429 2.4103 -1.6092 4.1400 0.9151" Properties=species:S:1:pos:R:3 pbc="T T T"
Be 0.0000 0.0000 0.0000
Rh -3.7760 1.0609 -0.2027
Cd -1.6853 -0.9215 1.2052
Cd -0.8046 2.0700 0.4575
Cd -1.2861 -0.0876 -1.8654
```

E_form (eV/atom): 0.547
Density of states at the Fermi level (states/eV per cell): 4.0
Total magnetic moment (μB/f.u.): 0.0

---

[4]
BeCdRhW2 | PBE-GGA | optimized geometry

Cell and atoms, written as extended XYZ:
```
5
Lattice="-2.6280 -3.2000 2.4153 2.1626 0.7942 3.4054 -3.1170 3.4471 1.1755" Properties=species:S:1:pos:R:3 pbc="T T T"
Be 1.0813 0.3971 1.7027
Rh 0.0000 0.0000 0.0000
W -1.5585 1.7236 0.5877
W -1.3140 -1.6000 1.2076
Cd -1.7912 0.5207 3.4981
```

E_form (eV/atom): 1.383
Density of states at the Fermi level (states/eV per cell): 4.3
Total magnetic moment (μB/f.u.): 0.0

---

[5]
Zr2Be2CdRh5 | PBE-GGA | optimized geometry

Cell and atoms, written as extended XYZ:
```
20
Lattice="-0.2424 -0.0977 -3.2654 -5.1088 -7.9966 0.6185 -7.9896 5.1383 0.4395" Properties=species:S:1:pos:R:3 pbc="T T T"
Zr -4.8805 -4.5059 0.4971
Zr -8.2179 1.6476 0.5608
Zr -3.4832 0.2366 0.2515
Zr -9.6152 -3.0949 0.8064
Be -5.5745 2.2245 0.3473
Be -7.5240 -5.0828 0.7106
Be -10.1966 -0.4441 0.7703
Be -2.9018 -2.4142 0.2877
Cd 0.0000 0.0000 0.0000
Cd -6.5492 -1.4292 0.5290
Rh -1.8089 -1.4354 -1.4659
Rh -11.5320 -1.5206 -0.7415
Rh -6.7237 3.3949 -1.2455
Rh -7.2215 -3.5956 -0.9995
Rh -6.6172 -6.3508 -0.9619
Rh -6.1194 0.6396 -1.2080
Rh -8.7844 -0.9210 -0.9634
Rh -4.5565 -2.0350 -1.2440
Rh -2.6756 -4.0472 -1.3235
Rh -4.1160 2.5203 -1.4130
```

E_form (eV/atom): -0.680
Density of states at the Fermi level (states/eV per cell): 7.4
Total magnetic moment (μB/f.u.): 0.0

---

[6]
BeCdRu | PBE-GGA | optimized geometry

Cell and atoms, written as extended XYZ:
```
3
Lattice="2.8225 0.0000 0.0000 -1.4112 2.4443 0.0000 0.0000 0.0000 6.4165" Properties=species:S:1:pos:R:3 pbc="T T T"
Ru 0.0000 1.6296 4.5500
Be 0.0000 0.0000 6.1831
Cd 1.4112 0.8148 2.1000
```

E_form (eV/atom): 0.290
Density of states at the Fermi level (states/eV per cell): 2.2
Total magnetic moment (μB/f.u.): 0.0

---

[7]
BeCd3Ru | PBE-GGA | optimized geometry

Cell and atoms, written as extended XYZ:
```
5
Lattice="-3.7042 1.7396 -1.9645 1.5316 -1.3262 -4.0623 -2.1306 -3.9777 0.4953" Properties=species:S:1:pos:R:3 pbc="T T T"
Ru -2.1516 -1.7821 -2.7658
Be 0.0000 0.0000 0.0000
Cd 0.7658 -0.6631 -2.0311
Cd -1.0653 -1.9888 0.2476
Cd -1.8521 0.8698 -0.9822
```

E_form (eV/atom): 0.821
Density of states at the Fermi level (states/eV per cell): 5.8
Total magnetic moment (μB/f.u.): 1.8

---

[8]
Be4CdRu | PBE-GGA | optimized geometry

Cell and atoms, written as extended XYZ:
```
6
Lattice="0.0000 3.1785 3.1785 3.1785 0.0000 3.1785 3.1785 3.1785 0.0000" Properties=species:S:1:pos:R:3 pbc="T T T"
Be 2.3705 3.9865 3.9865
Be 3.9865 3.9865 2.3705
Be 3.9865 2.3705 3.9865
Be 2.3705 2.3705 2.3705
Cd 4.7677 4.7677 4.7677
Ru 0.0000 0.0000 0.0000
```

E_form (eV/atom): -0.029
Density of states at the Fermi level (states/eV per cell): 3.9
Total magnetic moment (μB/f.u.): 0.0

---

[9]
BeCdRu2 | PBE-GGA | optimized geometry

Cell and atoms, written as extended XYZ:
```
4
Lattice="-0.6838 0.6353 3.7300 2.1651 -1.6516 0.6782 4.4909 3.2769 0.2652" Properties=species:S:1:pos:R:3 pbc="T T T"
Ru 0.4047 0.0003 0.0741
Ru 2.9233 0.8124 0.3976
Be 1.3221 0.7240 2.1009
Cd 4.6500 1.5366 2.5725
```

E_form (eV/atom): 0.259
Density of states at the Fermi level (states/eV per cell): 4.7
Total magnetic moment (μB/f.u.): 0.0

---

[10]
BeCdRu2 | PBE-GGA | optimized geometry

Cell and atoms, written as extended XYZ:
```
4
Lattice="2.9537 0.0000 0.0000 0.0000 4.4650 0.0000 0.0000 0.0000 4.3990" Properties=species:S:1:pos:R:3 pbc="T T T"
Ru 0.0000 0.0000 0.0000
Ru 1.4769 2.2325 0.0000
Be 1.4769 0.0000 2.1995
Cd 0.0000 2.2325 2.1995
```

E_form (eV/atom): 0.439
Density of states at the Fermi level (states/eV per cell): 4.1
Total magnetic moment (μB/f.u.): 0.9

---

[11]
Be2Cd2Ru | PBE-GGA | optimized geometry

Cell and atoms, written as extended XYZ:
```
5
Lattice="-3.0670 -1.9579 0.9326 1.3536 -2.9903 -1.8262 1.5300 -4.1010 3.9863" Properties=species:S:1:pos:R:3 pbc="T T T"
Ru 0.0000 0.0000 0.0000
Be -0.4246 -2.7686 0.3557
Be 0.2413 -6.2806 2.7371
Cd -1.1968 -4.2665 2.2361
Cd 1.0135 -4.7827 0.8567
```

E_form (eV/atom): 0.625
Density of states at the Fermi level (states/eV per cell): 3.9
Total magnetic moment (μB/f.u.): 1.0

---

[12]
BeCdRu2 | PBE-GGA | optimized geometry

Cell and atoms, written as extended XYZ:
```
4
Lattice="2.7378 -0.0118 0.0000 -1.0592 2.5246 0.0000 0.0000 0.0000 8.1958" Properties=species:S:1:pos:R:3 pbc="T T T"
Ru 0.0000 0.0000 0.3674
Ru 0.0000 0.0000 3.7305
Be 0.8393 1.2564 2.0490
Cd 0.8393 1.2564 6.1469
```

E_form (eV/atom): 0.259
Density of states at the Fermi level (states/eV per cell): 4.3
Total magnetic moment (μB/f.u.): 0.7

---

> Look up the total magnetic moment of the twelfth one.

0.7 μB/f.u.

---

> Which formula does entry 3 have?

BeCd3Rh

---

> Number 10 is which compound?

BeCdRu2

---

Copy entry 6 word for word.
BeCdRu | PBE-GGA | optimized geometry

Cell and atoms, written as extended XYZ:
```
3
Lattice="2.8225 0.0000 0.0000 -1.4112 2.4443 0.0000 0.0000 0.0000 6.4165" Properties=species:S:1:pos:R:3 pbc="T T T"
Ru 0.0000 1.6296 4.5500
Be 0.0000 0.0000 6.1831
Cd 1.4112 0.8148 2.1000
```

E_form (eV/atom): 0.290
Density of states at the Fermi level (states/eV per cell): 2.2
Total magnetic moment (μB/f.u.): 0.0